This record from Alexandria via LeMat-Bulk describes a geometry-optimized Dy8Pt3Se4Cl structure. The functional is PBE.

Lattice parameters (Å, degrees): 8.402 8.402 8.402 57.26 57.26 57.26
Sites, in units of the cell vectors:
1 Dy 0.231 0.754 0.754
2 Dy 0.242 0.242 0.242
3 Dy 0.246 0.246 0.769
4 Dy 0.246 0.769 0.246
5 Dy 0.754 0.231 0.754
6 Dy 0.754 0.754 0.231
7 Dy 0.758 0.758 0.758
8 Dy 0.769 0.246 0.246
9 Pt 0.000 0.000 0.500
10 Pt 0.000 0.500 0.000
11 Pt 0.500 0.000 0.000
12 Se 0.000 0.000 0.000
13 Se 0.000 0.500 0.500
14 Se 0.500 0.000 0.500
15 Se 0.500 0.500 0.000
16 Cl 0.500 0.500 0.500

Properties
Uncorrected formation energy   -1.501 eV/atom

---

This record from Alexandria via LeMat-Bulk describes a geometry-optimized DyPuCl6 structure. The functional is PBE.

Lattice parameters (Å, degrees): 7.034 7.034 6.709 97.46 97.46 122.29
Sites, in units of the cell vectors:
1 Dy 0.000 0.000 0.000
2 Pu 0.500 0.500 0.500
3 Cl 0.098 0.385 0.246
4 Cl 0.247 0.247 0.754
5 Cl 0.385 0.098 0.246
6 Cl 0.615 0.902 0.754
7 Cl 0.753 0.753 0.246
8 Cl 0.902 0.615 0.754

Properties
Energy above the most stable polymorph in this dataset   0.0 meV per atom
Uncorrected formation energy   -2.064 eV/atom

---

This record from Alexandria via LeMat-Bulk describes a geometry-optimized DyPuCl6 structure. The functional is PBE.

Lattice parameters (Å, degrees): 7.413 7.413 7.413 54.25 54.25 54.25
Sites, in units of the cell vectors:
1 Dy 0.000 0.000 0.000
2 Pu 0.500 0.500 0.500
3 Cl 0.100 0.751 0.393
4 Cl 0.249 0.607 0.900
5 Cl 0.393 0.100 0.751
6 Cl 0.607 0.900 0.249
7 Cl 0.751 0.393 0.100
8 Cl 0.900 0.249 0.607

Properties
Energy above the most stable polymorph in this dataset   6.8 meV per atom
Uncorrected formation energy   -2.057 eV/atom

---

This record from Alexandria via LeMat-Bulk describes a geometry-optimized DyPuCl4 structure. The functional is PBE.

Lattice parameters (Å, degrees): 6.907 7.176 6.567 90.00 98.92 90.00
Sites, in units of the cell vectors:
1 Dy 0.000 0.000 0.000
2 Dy 0.000 0.500 0.500
3 Pu 0.500 0.000 0.500
4 Pu 0.500 0.500 0.000
5 Cl 0.149 0.164 0.677
6 Cl 0.149 0.336 0.177
7 Cl 0.346 0.658 0.609
8 Cl 0.346 0.842 0.109
9 Cl 0.654 0.158 0.891
10 Cl 0.654 0.342 0.391
11 Cl 0.851 0.664 0.823
12 Cl 0.851 0.836 0.323

Properties
Uncorrected formation energy   -1.706 eV/atom

---

This record from Alexandria via LeMat-Bulk describes a geometry-optimized DyPuCl5 structure. The functional is PBE.

Lattice parameters (Å, degrees): 7.198 7.198 10.816 111.71 111.71 77.44
Sites, in units of the cell vectors:
1 Dy 0.000 0.000 0.000
2 Dy 0.000 0.000 0.500
3 Pu 0.356 0.644 0.750
4 Pu 0.644 0.356 0.250
5 Cl 0.032 0.968 0.750
6 Cl 0.245 0.287 0.132
7 Cl 0.277 0.694 0.489
8 Cl 0.287 0.245 0.632
9 Cl 0.306 0.723 0.011
10 Cl 0.694 0.277 0.989
11 Cl 0.713 0.755 0.368
12 Cl 0.723 0.306 0.511
13 Cl 0.755 0.713 0.868
14 Cl 0.968 0.032 0.250

Properties
Uncorrected formation energy   -1.979 eV/atom

---

This record from Alexandria via LeMat-Bulk describes a geometry-optimized Dy2PuCl structure. The functional is PBE.

Lattice parameters (Å, degrees): 10.033 10.033 10.033 20.33 20.33 20.33
Sites, in units of the cell vectors:
1 Dy 0.241 0.241 0.241
2 Dy 0.759 0.759 0.759
3 Pu 0.000 0.000 0.000
4 Cl 0.500 0.500 0.500

Properties
Uncorrected formation energy   -0.590 eV/atom

---

This record from Alexandria via LeMat-Bulk describes a geometry-optimized DyPuSe2Cl structure. The functional is PBE.

Lattice parameters (Å, degrees): 4.187 4.187 14.060 90.00 90.00 90.00
Sites, in units of the cell vectors:
1 Dy 0.250 0.250 0.102
2 Dy 0.750 0.750 0.898
3 Pu 0.250 0.250 0.643
4 Pu 0.750 0.750 0.357
5 Se 0.250 0.250 0.298
6 Se 0.250 0.250 0.892
7 Se 0.750 0.750 0.108
8 Se 0.750 0.750 0.702
9 Cl 0.250 0.750 0.500
10 Cl 0.750 0.250 0.500

Properties
Uncorrected formation energy   -1.682 eV/atom

---

This record from Alexandria via LeMat-Bulk describes a geometry-optimized RbDy2Cl7 structure. The functional is PBE.

Lattice parameters (Å, degrees): 13.770 6.984 12.713 90.00 90.00 90.00
Sites, in units of the cell vectors:
1 Rb 0.033 0.250 0.200
2 Rb 0.467 0.750 0.700
3 Rb 0.533 0.250 0.300
4 Rb 0.967 0.750 0.800
5 Dy 0.240 0.250 0.541
6 Dy 0.247 0.250 0.844
7 Dy 0.253 0.750 0.344
8 Dy 0.260 0.750 0.041
9 Dy 0.740 0.250 0.959
10 Dy 0.747 0.250 0.656
11 Dy 0.753 0.750 0.156
12 Dy 0.760 0.750 0.459
13 Cl 0.114 0.750 0.191
14 Cl 0.128 0.010 0.423
15 Cl 0.128 0.490 0.423
16 Cl 0.133 0.010 0.961
17 Cl 0.133 0.490 0.961
18 Cl 0.175 0.010 0.693
19 Cl 0.175 0.490 0.693
20 Cl 0.325 0.510 0.193
21 Cl 0.325 0.990 0.193
22 Cl 0.367 0.510 0.461
23 Cl 0.367 0.990 0.461
24 Cl 0.372 0.510 0.923
25 Cl 0.372 0.990 0.923
26 Cl 0.386 0.250 0.691
27 Cl 0.614 0.750 0.309
28 Cl 0.628 0.010 0.077
29 Cl 0.628 0.490 0.077
30 Cl 0.633 0.010 0.539
31 Cl 0.633 0.490 0.539
32 Cl 0.675 0.010 0.807
33 Cl 0.675 0.490 0.807
34 Cl 0.825 0.510 0.307
35 Cl 0.825 0.990 0.307
36 Cl 0.867 0.510 0.039
37 Cl 0.867 0.990 0.039
38 Cl 0.872 0.510 0.577
39 Cl 0.872 0.990 0.577
40 Cl 0.886 0.250 0.809

Properties
Energy above the most stable polymorph in this dataset   0.0 meV per atom
Uncorrected formation energy   -2.260 eV/atom